A plane-wave DFT calculation with PBE-GGA was carried out for an optimized crystal structure of BeTcSn3.

The structure in POSCAR format:
```
BeTcSn3
1.0
5.1729 0.0000 0.0000
0.0000 5.1729 0.0000
0.0000 0.0000 5.1729
Sn Be Tc
3 1 1
direct
0.0000 0.0000 0.5000
0.0000 0.5000 0.0000
0.5000 0.0000 0.0000
0.5000 0.5000 0.5000
0.0000 0.0000 0.0000
```

Properties
energy above the most stable polymorph in this dataset: 0 meV/atom
formation enthalpy at 0 K: 0.692 eV per atom

***

A plane-wave DFT calculation with PBE-GGA was carried out for an optimized crystal structure of LiNpCl6.

The structure in POSCAR format:
```
LiNpCl6
1.0
-4.6811 3.4496 -2.9605
-5.8859 -2.4092 1.4616
-3.2755 2.6556 5.7547
Cl Li Np
6 1 1
direct
0.7510 0.1122 0.2737
0.2490 0.8878 0.7263
0.7663 0.7667 0.0000
0.7510 0.3860 0.7263
0.2490 0.6140 0.2737
0.2337 0.2333 0.0000
0.5000 0.5000 0.0000
0.0000 0.0000 0.0000
```

Properties
formation energy without anion corrections: -12.3 eV per formula unit
energy above the most stable polymorph in this dataset: 0 meV/atom

***

A plane-wave DFT calculation with PBE-GGA was carried out for an optimized crystal structure of Mo3RuN.

The structure in POSCAR format:
```
Mo3RuN
1.0
-0.5127 2.5637 -3.1517
-0.7093 -3.1844 -2.4750
-4.0004 0.2360 0.8428
Mo Ru N
3 1 1
direct
0.5000 0.0000 0.0000
0.0000 0.0000 0.5000
0.0000 0.5000 0.0000
0.5000 0.5000 0.5000
0.0000 0.0000 0.0000
```

Properties
formation energy without anion corrections: -0.4 eV per formula unit

***

A plane-wave DFT calculation with PBE-GGA was carried out for an optimized crystal structure of BaNi4Sb.

The structure in POSCAR format:
```
BaNi4Sb
1.0
-1.7815 1.9271 4.5206
-5.0708 1.1518 0.5327
-3.0380 -2.9370 3.0769
Ba Sb Ni
1 1 4
direct
0.0000 0.0000 0.0000
0.7500 0.7500 0.7500
0.3774 0.3774 0.8679
0.8679 0.3774 0.3774
0.3774 0.8679 0.3774
0.3774 0.3774 0.3774
```

Properties
formation energy without anion corrections: 0.9 eV per formula unit

***

A plane-wave DFT calculation with PBE-GGA was carried out for an optimized crystal structure of OsPbBr6.

The structure in POSCAR format:
```
OsPbBr6
1.0
7.0828 0.0736 0.0361
2.0429 6.7822 0.0361
-0.1376 -0.1034 10.7022
Br Pb Os
12 2 2
direct
0.5554 0.1369 0.2076
0.1369 0.5554 0.7076
0.4446 0.8631 0.7924
0.7343 0.4010 0.6059
0.2027 0.1414 0.5004
0.2657 0.5990 0.3941
0.8586 0.7973 0.9996
0.7973 0.8586 0.4996
0.4010 0.7343 0.1059
0.1414 0.2027 0.0004
0.5990 0.2657 0.8941
0.8631 0.4446 0.2924
0.0111 0.9889 0.2500
0.9889 0.0111 0.7500
0.5000 0.0000 0.0000
0.0000 0.5000 0.5000
```

Properties
formation energy without anion corrections: -3.1 eV per formula unit

***

A plane-wave DFT calculation with PBE-GGA was carried out for an optimized crystal structure of RbTlS2.

The structure in POSCAR format:
```
RbTlS2
1.0
3.1786 6.5627 -8.1684
-4.2032 -9.1251 4.3544
-5.2843 2.3560 -0.1634
Rb S Tl
2 4 2
direct
0.3286 0.6714 0.2500
0.6714 0.3286 0.7500
0.1726 0.8274 0.2500
0.8274 0.1726 0.7500
0.9488 0.0512 0.2500
0.0512 0.9488 0.7500
0.0618 0.9382 0.2500
0.9382 0.0618 0.7500
```

Properties
formation energy without anion corrections: -1.9 eV per formula unit
energy above the most stable polymorph in this dataset: 157 meV/atom

***

A plane-wave DFT calculation with PBE-GGA was carried out for an optimized crystal structure of Tb6CeY8.

The structure in POSCAR format:
```
Tb6CeY8
1.0
6.5948 0.0000 0.0000
0.0000 8.1724 -4.7183
0.0000 0.0000 9.4367
Y Tb Ce
8 6 1
direct
0.8987 0.3369 0.0268
0.8987 0.6899 0.6631
0.1787 0.6667 0.3333
0.8987 0.9732 0.3101
0.1013 0.6631 0.9732
0.1013 0.0268 0.6899
0.1013 0.3101 0.3369
0.8213 0.3333 0.6667
0.5936 0.6782 0.0849
0.4064 0.0849 0.4067
0.5936 0.9151 0.5933
0.4064 0.3218 0.9151
0.4064 0.5933 0.6782
0.5936 0.4067 0.3218
0.5000 0.0000 0.0000
```

Properties
formation enthalpy at 0 K: 0.256 eV per atom

***

A plane-wave DFT calculation with PBE-GGA was carried out for an optimized crystal structure of B2HS2.

The structure in POSCAR format:
```
B2HS2
1.0
8.8597 0.0000 0.0000
0.0000 8.8597 0.0000
0.0000 0.0000 2.9493
H B S
2 4 4
direct
0.5000 0.5000 0.0000
0.0000 0.0000 0.0000
0.9327 0.4327 0.5000
0.4327 0.0673 0.5000
0.5673 0.9327 0.5000
0.0673 0.5673 0.5000
0.3479 0.1521 0.0000
0.8479 0.3479 0.0000
0.6521 0.8479 0.0000
0.1521 0.6521 0.0000
```

Properties
energy above the most stable polymorph in this dataset: 0 meV/atom